1.
# CaPC2I

CaPC2I at its PBEsol-relaxed geometry (SCAN, the Alexandria database).

- calculated volume (A^3/atom) = 17.91
- space group = No. 123
- M_tot (μB/cell) = 0.00
- formation energy from raw total energies (kJ/mol of atoms) = 116.38

POSCAR file:
```
CaPC2I
1.0
-1.7612 -3.1320 -1.4861
-0.6377 -1.3457 3.5920
-5.1916 2.8501 0.1460
C Ca I P
2 1 1 1
direct
0.5000 0.0000 0.0000
0.0000 0.5000 0.0000
0.0000 0.0000 0.5000
0.5000 0.5000 0.5000
0.0000 0.0000 0.0000
```


2.
# Ca2PtCI

Ca2PtCI at its PBEsol-relaxed geometry (SCAN, the Alexandria database).

- calculated volume (A^3/atom) = 21.74
- space group = No. 123
- M_tot (μB/cell) = 0.00
- formation energy from raw total energies (kJ/mol of atoms) = -73.77

POSCAR file:
```
Ca2PtCI
1.0
3.8799 0.0000 0.0000
0.0000 5.2931 0.0000
0.0000 0.0000 5.2931
Ca Pt C I
2 1 1 1
direct
0.0000 0.5000 0.0000
0.0000 0.0000 0.5000
0.5000 0.0000 0.0000
0.0000 0.0000 0.0000
0.5000 0.5000 0.5000
```


3.
# CaScC2I

CaScC2I at its PBEsol-relaxed geometry (SCAN, the Alexandria database).

- calculated volume (A^3/atom) = 21.18
- space group = No. 123
- M_tot (μB/cell) = 0.00
- formation energy from raw total energies (kJ/mol of atoms) = 178.75

POSCAR file:
```
CaScC2I
1.0
-2.5295 -2.2221 -2.7841
3.2681 -0.0892 -2.8980
1.7995 -4.7752 2.1763
Sc Ca C I
1 1 2 1
direct
0.5000 0.5000 0.5000
0.0000 0.0000 0.0000
0.0000 0.5000 0.0000
0.5000 0.0000 0.0000
0.0000 0.0000 0.5000
```


4.
# Ca2SiCI

Ca2SiCI at its PBEsol-relaxed geometry (SCAN, the Alexandria database).

- calculated volume (A^3/atom) = 27.87
- space group = No. 123
- M_tot (μB/cell) = 0.01
- formation energy from raw total energies (kJ/mol of atoms) = 103.66

POSCAR file:
```
Ca2SiCI
1.0
-2.4993 -1.0768 -3.2320
1.4072 -5.5172 0.7500
-4.4114 -0.6328 3.6223
C I Si Ca
1 1 1 2
direct
0.5000 0.0000 0.0000
0.0000 0.0000 0.0000
0.5000 0.5000 0.5000
0.0000 0.0000 0.5000
0.0000 0.5000 0.0000
```


5.
# CaInC3

CaInC3 at its PBEsol-relaxed geometry (SCAN, the Alexandria database).

- calculated volume (A^3/atom) = 16.13
- energy of formation (eV per atom) = 2.313
- space group = No. 221
- M_tot (μB/cell) = 0.00

POSCAR file:
```
CaInC3
1.0
-0.5847 -3.4806 2.4919
-0.0655 -2.5075 -3.5177
4.2801 -0.5139 0.2866
C Ca In
3 1 1
direct
0.0000 0.0000 0.5000
0.5000 0.0000 0.0000
0.0000 0.5000 0.0000
0.5000 0.5000 0.5000
0.0000 0.0000 0.0000
```


6.
# Ca2InOsC

Ca2InOsC at its PBEsol-relaxed geometry (SCAN, the Alexandria database).

- calculated volume (A^3/atom) = 31.66
- energy of formation (eV per atom) = 1.921
- space group = No. 123
- M_tot (μB/cell) = 0.76

POSCAR file:
```
Ca2InOsC
1.0
-0.1256 0.9501 4.7532
-5.6118 1.0142 -0.3510
-1.0629 -5.5102 1.0733
Ca In Os C
2 1 1 1
direct
0.0000 0.5000 0.0000
0.0000 0.0000 0.5000
0.0000 0.0000 0.0000
0.5000 0.0000 0.0000
0.5000 0.5000 0.5000
```


7.
# CaIr3C

CaIr3C at its PBEsol-relaxed geometry (SCAN, the Alexandria database).

- calculated volume (A^3/atom) = 20.06
- energy of formation (eV per atom) = 4.128
- space group = No. 221
- M_tot (μB/cell) = 0.00

POSCAR file:
```
CaIr3C
1.0
4.6459 0.0000 0.0000
0.0000 4.6459 0.0000
0.0000 0.0000 4.6459
C Ir Ca
1 3 1
direct
0.5000 0.5000 0.5000
0.0000 0.5000 0.0000
0.5000 0.0000 0.0000
0.0000 0.0000 0.5000
0.0000 0.0000 0.0000
```


8.
# RbCa2IrC

RbCa2IrC at its PBEsol-relaxed geometry (SCAN, the Alexandria database).

- calculated volume (A^3/atom) = 29.80
- energy of formation (eV per atom) = 2.581
- space group = No. 123
- M_tot (μB/cell) = 1.13

POSCAR file:
```
RbCa2IrC
1.0
-0.7992 3.9962 2.3223
-4.6894 0.8162 -3.0184
-2.9757 -2.8361 3.8561
Ca Ir Rb C
2 1 1 1
direct
0.0000 0.0000 0.5000
0.0000 0.5000 0.0000
0.5000 0.0000 0.0000
0.0000 0.0000 0.0000
0.5000 0.5000 0.5000
```


9.
# CaIrC2Se

CaIrC2Se at its PBEsol-relaxed geometry (SCAN, the Alexandria database).

- calculated volume (A^3/atom) = 18.65
- space group = No. 123
- M_tot (μB/cell) = 0.00
- formation energy from raw total energies (kJ/mol of atoms) = 43.04

POSCAR file:
```
CaIrC2Se
1.0
-1.8807 3.0926 -1.4456
-3.2366 -1.0904 1.8780
1.7098 3.3176 4.8731
C Ca Se Ir
2 1 1 1
direct
0.5000 0.0000 0.0000
0.0000 0.5000 0.0000
0.0000 0.0000 0.5000
0.5000 0.5000 0.5000
0.0000 0.0000 0.0000
```


10.
# CaTeIr2C

CaTeIr2C at its PBEsol-relaxed geometry (SCAN, the Alexandria database).

- calculated volume (A^3/atom) = 17.12
- space group = No. 123
- M_tot (μB/cell) = 0.00
- formation energy from raw total energies (kJ/mol of atoms) = 22.82

POSCAR file:
```
CaTeIr2C
1.0
-3.1361 -2.5633 0.3162
2.3260 -2.5870 2.0983
-1.4326 2.2981 4.4214
Te Ca C Ir
1 1 1 2
direct
0.0000 0.0000 0.5000
0.5000 0.5000 0.5000
0.0000 0.0000 0.0000
0.0000 0.5000 0.0000
0.5000 0.0000 0.0000
```


11.
# KCaC3

KCaC3 at its PBEsol-relaxed geometry (SCAN, the Alexandria database).

- calculated volume (A^3/atom) = 19.93
- energy of formation (eV per atom) = 2.773
- space group = No. 221
- M_tot (μB/cell) = 8.33

POSCAR file:
```
KCaC3
1.0
4.6361 0.0000 0.0000
0.0000 4.6361 0.0000
0.0000 0.0000 4.6361
C Ca K
3 1 1
direct
0.0000 0.5000 0.0000
0.5000 0.0000 0.0000
0.0000 0.0000 0.5000
0.0000 0.0000 0.0000
0.5000 0.5000 0.5000
```


12.
# K2CaCS

K2CaCS at its PBEsol-relaxed geometry (SCAN, the Alexandria database).

- calculated volume (A^3/atom) = 30.22
- space group = No. 123
- M_tot (μB/cell) = 0.00
- formation energy from raw total energies (kJ/mol of atoms) = 81.12

POSCAR file:
```
K2CaCS
1.0
-1.5882 -0.1338 3.4486
-5.3425 -2.1798 -2.5449
2.0684 -5.9135 0.7231
S K Ca C
1 2 1 1
direct
0.5000 0.0000 0.0000
0.0000 0.5000 0.0000
0.0000 0.0000 0.5000
0.5000 0.5000 0.5000
0.0000 0.0000 0.0000
```


Which of these has the lowest calculated volume?
CaInC3


What is the formula in the twelfth record?
K2CaCS